Record 1
The following is a DFT calculation (PBE) of crystalline YTaIn2 at its relaxed geometry.

## Properties
E_tot, eV/cell: -86.725

Cell: 4.4062 4.4062 21.2629 Å, 90.00 90.00 90.00°
With the nearest neighbours (Å) after each atom.
Space group I-42d (No. 122)
Symmetry-distinct sites (fractional):
Y: 0.0000 0.0000 0.0000 (multiplicity 4)  4 Ta 3.12, 4 In 3.14
Ta: 0.0000 0.0000 0.5000 (multiplicity 4)  4 In 3.03, 4 Y 3.12
In: 0.2173 0.2500 0.6250 (multiplicity 8)  2 In 2.92, 2 Ta 3.03, 2 Y 3.14

Record 2
The following is a DFT calculation (PBE) of crystalline GaAuO2F at its relaxed geometry.

## Properties
E_tot, eV/cell: -18.926

Cell: 4.0659 4.0659 4.4453 Å, 90.00 90.00 90.00°
With the nearest neighbours (Å) after each atom.
Space group P4/mmm (No. 123)
Symmetry-distinct sites (fractional):
Ga: 0.0000 0.0000 0.0000 (multiplicity 1)  4 F 2.88, 8 O 3.01
Au: 0.5000 0.5000 0.5000 (multiplicity 1)  4 O 2.03, 2 F 2.22
O: 0.0000 0.5000 0.5000 (multiplicity 2)  2 Au 2.03
F: 0.5000 0.5000 0.0000 (multiplicity 1)  2 Au 2.22

Record 3
The following is a DFT calculation (PBE) of crystalline ScTa2Be at its relaxed geometry.

## Properties
E_tot, eV/cell: -97.235

Cell: 2.9905 2.9905 27.0334 Å, 90.00 90.00 120.00°
With the nearest neighbours (Å) after each atom.
Space group R-3m (No. 166, hexagonal axes)
Symmetry-distinct sites (fractional):
Sc: 0.0000 0.0000 0.0000 (multiplicity 3)  6 Sc 2.99, 6 Ta 3.08
Ta: 0.0000 0.0000 0.2389 (multiplicity 6)  3 Be 2.61
Be: 0.0000 0.0000 0.5000 (multiplicity 3)  6 Ta 2.61

Record 4
The following is a DFT calculation (PBE) of crystalline Sm2Dy3Er3 at its relaxed geometry.

## Properties
Excess energy over the best structure of this formula in the dataset, eV/f.u.: 1.70

Cell: 8.6260 8.6260 12.0504 Å, 90.00 90.00 120.00°
With the nearest neighbours (Å) after each atom.
Space group R32 (No. 155, hexagonal axes)
Symmetry-distinct sites (fractional):
Sm: 0.0000 0.0000 0.2404 (multiplicity 6)  6 Er 3.51-3.72, 6 Dy 3.54-3.56
Dy: 0.0000 0.7651 0.0000 (multiplicity 9)  2 Er 3.21, 2 Dy 3.51, 4 Sm 3.54-3.56
Er: 0.0000 0.2329 0.5000 (multiplicity 9)  2 Dy 3.21, 2 Er 3.48, 2 Sm 3.51

Record 5
The following is a DFT calculation (PBE) of crystalline LiCe2Ho3Se6 at its relaxed geometry.

## Properties
E_tot, eV/cell: -138.600

Cell: 7.0818 12.2847 7.1248 Å, 90.00 109.53 90.00°
With the nearest neighbours (Å) after each atom.
Space group C2/m (No. 12)
Symmetry-distinct sites (fractional):
Li: 0.0000 0.0000 0.0000 (multiplicity 2)  6 Se 2.85
Ce: 0.0000 0.3345 0.0000 (multiplicity 4)  6 Se 2.94-2.96
Ho: 0.0000 0.1680 0.5000 (multiplicity 4)  6 Se 2.85-2.93
Ho: 0.0000 0.5000 0.5000 (multiplicity 2)  6 Se 2.85-2.95
Se: 0.2361 0.0000 0.7450 (multiplicity 4)  1 Li 2.85, 3 Ho 2.86-2.95, 2 Ce 2.94
Se: 0.2457 0.1611 0.2551 (multiplicity 8)  3 Ho 2.85-2.93, 1 Li 2.85, 2 Ce 2.96

Record 6
The following is a DFT calculation (PBE) of crystalline TlSiP at its relaxed geometry.

## Properties
Excess energy over the best structure of this formula in the dataset, eV/f.u.: 2.66

Cell: 6.6427 6.6427 6.6427 Å, 90.00 90.00 90.00°
With the nearest neighbours (Å) after each atom.
Space group F-43m (No. 216)
Symmetry-distinct sites (fractional):
Tl: 0.0000 0.0000 0.0000 (multiplicity 4)  4 P 2.88, 4 Si 2.88
Si: 0.2500 0.2500 0.2500 (multiplicity 4)  4 Tl 2.88
P: 0.2500 0.2500 0.7500 (multiplicity 4)  4 Tl 2.88

Record 7
The following is a DFT calculation (PBE) of crystalline PuAl2ZnAu2 at its relaxed geometry.

## Properties
E_tot, eV/cell: -31.782

Cell: 4.4501 4.4501 6.7892 Å, 90.00 90.00 120.00°
With the nearest neighbours (Å) after each atom.
Space group P-3m1 (No. 164)
Symmetry-distinct sites (fractional):
Pu: 0.0000 0.0000 0.0000 (multiplicity 1)  6 Au 3.20, 6 Al 3.28, 2 Zn 3.39
Al: 0.3333 0.6667 0.7003 (multiplicity 2)  4 Au 2.57-2.84
Zn: 0.0000 0.0000 0.5000 (multiplicity 1)  6 Al 2.91, 6 Au 2.97
Au: 0.3333 0.6667 0.2817 (multiplicity 2)  4 Al 2.57-2.84

Record 8
The following is a DFT calculation (PBE) of crystalline Sb2PPtI at its relaxed geometry.

## Properties
Excess energy over the best structure of this formula in the dataset, eV/f.u.: 0.00

Cell: 5.2405 5.2405 5.3802 Å, 90.00 90.00 90.00°
With the nearest neighbours (Å) after each atom.
Space group P4/mmm (No. 123)
Symmetry-distinct sites (fractional):
Sb: 0.0000 0.5000 0.0000 (multiplicity 2)  2 Pt 2.62
P: 0.0000 0.0000 0.5000 (multiplicity 1)  4 I 3.71, 8 Sb 3.76
Pt: 0.5000 0.5000 0.0000 (multiplicity 1)  4 Sb 2.62, 2 I 2.69
I: 0.5000 0.5000 0.5000 (multiplicity 1)  2 Pt 2.69

Record 9
The following is a DFT calculation (PBE) of crystalline TbDyAlSi at its relaxed geometry.

## Properties
E_tot, eV/cell: -41.983

Cell: 3.9908 4.3472 10.8572 Å, 90.00 90.00 90.00°
With the nearest neighbours (Å) after each atom.
Space group Amm2 (No. 38)
Symmetry-distinct sites (fractional):
Tb: 0.0000 0.0000 0.0000 (multiplicity 2)  4 Al 3.05, 3 Si 3.06-3.21
Dy: 0.5000 0.0000 0.2828 (multiplicity 2)  4 Si 3.03, 3 Al 3.13-3.16
Al: 0.5000 0.0000 0.5711 (multiplicity 2)  2 Si 2.55
Si: 0.0000 0.0000 0.7177 (multiplicity 2)  2 Al 2.55

Record 10
The following is a DFT calculation (PBE) of crystalline Nd3HfTl3S8 at its relaxed geometry.

## Properties
E_tot, eV/cell: -259.498

Cell: 8.1417 8.1417 22.7329 Å, 90.00 90.00 120.00°
With the nearest neighbours (Å) after each atom.
Space group R-3m (No. 166, hexagonal axes)
Symmetry-distinct sites (fractional):
Nd: 0.0000 0.5000 0.0000 (multiplicity 9)  6 S 2.82-2.86
Hf: 0.0000 0.0000 0.0000 (multiplicity 3)  6 S 2.60
Tl: 0.0000 0.5000 0.5000 (multiplicity 9)  6 S 3.24-3.25
S: 0.0000 0.0000 0.2648 (multiplicity 6)  3 Nd 2.82
S: 0.0285 0.5143 0.7307 (multiplicity 18)  1 Hf 2.60, 2 Nd 2.86

Record 11
The following is a DFT calculation (PBE) of crystalline La2BeAs4Rh3 at its relaxed geometry.

## Properties
E_tot, eV/cell: -62.812

Cell: 4.3091 4.3091 10.0659 Å, 90.00 90.00 90.00°
With the nearest neighbours (Å) after each atom.
Space group P-4m2 (No. 115)
Symmetry-distinct sites (fractional):
La: 0.0000 0.5000 0.2476 (multiplicity 2)  8 As 3.28-3.29, 6 Rh 3.30-3.33, 2 Be 3.33
Be: 0.0000 0.0000 0.5000 (multiplicity 1)  4 As 2.52
As: 0.0000 0.0000 0.0000 (multiplicity 1)  4 Rh 2.48
As: 0.0000 0.5000 0.6306 (multiplicity 2)  3 Rh 2.49-2.52, 2 Be 2.52
As: 0.5000 0.5000 0.0000 (multiplicity 1)  4 Rh 2.48
Rh: 0.0000 0.5000 0.8778 (multiplicity 2)  5 As 2.48-2.49
Rh: 0.5000 0.5000 0.5000 (multiplicity 1)  4 As 2.52

Record 12
The following is a DFT calculation (PBE) of crystalline Pm6Ag5Ir at its relaxed geometry.

## Properties
E_tot, eV/cell: -111.763

Cell: 5.2005 15.6371 7.4379 Å, 90.00 90.00 90.00°
With the nearest neighbours (Å) after each atom.
Space group Cmmm (No. 65)
Symmetry-distinct sites (fractional):
Pm: 0.0000 0.0000 0.2329 (multiplicity 4)  2 Ir 3.12, 6 Ag 3.27-3.30, 1 Pm 3.46
Pm: 0.0000 0.3431 0.2419 (multiplicity 8)  1 Ir 3.04, 7 Ag 3.11-3.35
Ag: 0.0000 0.1674 0.5000 (multiplicity 4)  8 Pm 3.24-3.35
Ag: 0.0000 0.1797 0.0000 (multiplicity 4)  8 Pm 3.13-3.30, 2 Ag 3.41
Ag: 0.0000 0.5000 0.5000 (multiplicity 2)  8 Pm 3.11-3.27
Ir: 0.0000 0.5000 0.0000 (multiplicity 2)  8 Pm 3.04-3.12